Here is a geometry-optimized SrCoAg2F8 structure from Alexandria via LeMat-Bulk. Energies are from PBE+U.

abc: 6.984 6.984 6.984
angles: 132.12 132.12 70.04
Sites, in units of the cell vectors:
Sr1 0.000 0.000 0.000
Co1 0.250 0.750 0.500
Ag1 0.500 0.500 0.000
Ag2 0.750 0.250 0.500
F1 0.101 0.218 0.526
F2 0.150 0.685 0.139
F3 0.315 0.454 0.464
F4 0.424 0.899 0.117
F5 0.546 0.010 0.861
F6 0.692 0.576 0.474
F7 0.782 0.308 0.883
F8 0.990 0.850 0.536

Computed properties:
* volume: 183.8 Å³/f.u.
* mass density: 4647 kg/m³
* raw total energy: -4.3188 eV per atom
* space group: I-4 (82)